Below is Ac2HfIn after structural relaxation, with properties calculated at the PBE level.

Values from the calculation:
The calculation puts the density at 9.30 Mg/m³. As for the crystal system: trigonal. For the energy of formation from the pure elements, the calculation gives 454 meV per atom. The value obtained for the volume is 33.36 Å³ per atom. The calculation puts the total energy at -4.773 eV per atom.

abc: 3.5232 3.5232 37.2389
angles: 90.00 90.00 120.00
Space group R-3m (No. 166, hexagonal axes)
Asymmetric unit:
Ac1 0.0000 0.0000 0.0873 (multiplicity 6)
Hf1 0.0000 0.0000 0.0000 (multiplicity 3)
In1 0.0000 0.0000 0.5000 (multiplicity 3)